(a)
VASP calculation (PBE) on an optimized crystal structure of Lu2InPt.

Computed properties:
**DOS at the Fermi energy**: 2.638 states/eV/f.u.
**Density**: 12.0 g/cm3

The structure in extended XYZ format:
```
4
Lattice="3.470 0.000 0.000 0.000 3.470 0.000 0.000 0.000 7.569" Properties=species:S:1:pos:R:3 pbc="T T T"
Lu 0.000 0.000 1.644
Lu 0.000 0.000 5.925
In 1.735 1.735 3.785
Pt 1.735 1.735 0.000
```

(b)
VASP calculation (PBE) on an optimized crystal structure of Lu2InPt.

Computed properties:
**DOS at the Fermi energy**: 2.823 states/eV/f.u.
**Density**: 10.6 g/cm3

The structure in extended XYZ format:
```
4
Lattice="1.898 1.096 8.291 -1.898 1.096 8.291 0.000 -2.191 8.291" Properties=species:S:1:pos:R:3 pbc="T T T"
Lu 0.000 0.000 5.826
Lu 0.000 0.000 19.045
In 0.000 0.000 0.000
Pt 0.000 0.000 12.436
```

(c)
VASP calculation (PBE) on an optimized crystal structure of Lu2InPt.

Computed properties:
**DOS at the Fermi energy**: 3.536 states/eV/f.u.
**Density**: 12.2 g/cm3

The structure in extended XYZ format:
```
4
Lattice="0.000 3.556 3.556 3.556 0.000 3.556 3.556 3.556 0.000" Properties=species:S:1:pos:R:3 pbc="T T T"
Lu 1.778 1.778 1.778
Lu 5.334 5.334 5.334
In 0.000 0.000 0.000
Pt 3.556 3.556 3.556
```

Which structure wins on stability? (a) wins.

(a)
VASP calculation (PBE) on an optimized crystal structure of LuPu2In.

Computed properties:
**DOS at the Fermi energy**: 10.518 states/eV/f.u.
**Density**: 12.4 g/cm3

The structure in extended XYZ format:
```
4
Lattice="4.511 0.000 0.000 0.000 4.511 0.000 0.000 0.000 5.102" Properties=species:S:1:pos:R:3 pbc="T T T"
Lu 0.000 0.000 0.000
Pu 0.000 2.255 2.551
Pu 2.255 0.000 2.551
In 2.255 2.255 0.000
```

(b)
VASP calculation (PBE) on an optimized crystal structure of LuPu2In.

Computed properties:
**DOS at the Fermi energy**: 14.751 states/eV/f.u.
**Density**: 11.9 g/cm3

The structure in extended XYZ format:
```
4
Lattice="4.122 0.000 0.000 0.000 4.122 0.000 0.000 0.000 6.408" Properties=species:S:1:pos:R:3 pbc="T T T"
Lu 0.000 0.000 0.000
Pu 2.061 2.061 1.689
Pu 2.061 2.061 4.720
In 0.000 0.000 3.204
```

(c)
VASP calculation (PBE) on an optimized crystal structure of LuPu2In.

Computed properties:
**DOS at the Fermi energy**: 12.538 states/eV/f.u.
**Density**: 11.9 g/cm3

The structure in extended XYZ format:
```
4
Lattice="0.000 3.782 3.782 3.782 0.000 3.782 3.782 3.782 0.000" Properties=species:S:1:pos:R:3 pbc="T T T"
Lu 0.000 0.000 0.000
Pu 1.891 1.891 1.891
Pu 5.673 5.673 5.673
In 3.782 3.782 3.782
```

Which structure wins on stability? (a) wins.

(a)
VASP calculation (PBE) on an optimized crystal structure of LuPuIn.

Computed properties:
**DOS at the Fermi energy**: 6.300 states/eV/f.u.
**Density**: 10.3 g/cm3

The structure in extended XYZ format:
```
3
Lattice="-1.564 1.564 8.796 1.564 -1.564 8.796 1.564 1.564 -8.796" Properties=species:S:1:pos:R:3 pbc="T T T"
Lu 0.000 0.000 0.000
Pu 0.000 0.000 14.397
In 0.000 0.000 11.221
```

(b)
VASP calculation (PBE) on an optimized crystal structure of LuPuIn.

Computed properties:
**DOS at the Fermi energy**: 5.940 states/eV/f.u.
**Density**: 11.1 g/cm3

The structure in extended XYZ format:
```
3
Lattice="5.274 0.000 0.000 -2.637 4.568 0.000 0.000 0.000 3.310" Properties=species:S:1:pos:R:3 pbc="T T T"
Lu 0.000 0.000 0.000
Pu 0.000 3.045 1.362
In 2.637 1.523 2.488
```

Which structure wins on stability? (b) wins.